(one)
Computed, not measured: crystalline Sm3TaN4 at its relaxed geometry at the PBE-GGA level of DFT.

## Properties
As for the total magnetization: 0.00 μB per formula unit.

a b c (Å): 5.1399 6.7628 8.0161
angles (deg): 90.00 90.00 90.00
Sites, in units of the cell vectors:
Sm1 0.5616 0.8386 0.0000
Sm2 0.0627 0.6681 0.2460
Sm3 0.5627 0.3319 0.2540
Sm4 0.0616 0.1614 0.5000
Sm5 0.5627 0.3319 0.7460
Sm6 0.0627 0.6681 0.7540
Ta1 0.0182 0.1784 0.0000
Ta2 0.5182 0.8216 0.5000
N1 0.0606 0.8828 0.0000
N2 0.6332 0.1763 0.0000
N3 0.0581 0.3057 0.2267
N4 0.5581 0.6943 0.2733
N5 0.1332 0.8237 0.5000
N6 0.5606 0.1172 0.5000
N7 0.5581 0.6943 0.7267
N8 0.0581 0.3057 0.7733


(two)
Computed, not measured: crystalline Sm3TaN4 at its relaxed geometry at the PBE-GGA level of DFT.

## Properties
As for the total magnetization: 0.00 μB per formula unit.

a b c (Å): 5.0087 5.0087 5.0087
angles (deg): 90.94 90.94 90.94
Sites, in units of the cell vectors:
N1 0.7573 0.7573 0.7573
N2 0.6750 0.2579 0.2580
N3 0.2580 0.6750 0.2579
N4 0.2579 0.2580 0.6750
Sm1 0.2514 0.7567 0.7566
Sm2 0.7566 0.2514 0.7567
Sm3 0.7567 0.7566 0.2514
Ta1 0.2870 0.2870 0.2870


Quick ranking, most stable first: (one), (two).